DFT (PBE-GGA) results for an optimized crystal structure of TmLuPuMg.

The value obtained for the energy of formation is 0.15 eV per atom. Its total energy is -6.08 eV/atom.

It has space group F-43m (No. 216), with a = 7.6094 Å, b = 7.6094 Å, c = 7.6094 Å, α = 90.00°, β = 90.00° and γ = 90.00°. The inequivalent atoms are Tm at (0.0000, 0.0000, 0.0000), Lu at (0.0000, 0.0000, 0.5000), Pu at (0.2500, 0.2500, 0.2500) and Mg at (0.2500, 0.2500, 0.7500).

=====

DFT (PBE-GGA) results for an optimized crystal structure of Ba6Ag2IrN.

As for the energy relative to the elements, uncorrected: -192 meV per atom. Its total energy is -3.63 eV/atom.

It has space group P2_1/c (No. 14), with a = 7.8101 Å, b = 8.4056 Å, c = 13.7890 Å, α = 90.00°, β = 124.23° and γ = 90.00°. The inequivalent atoms are Ba at (0.1360, 0.0212, 0.2372), Ba at (0.2297, 0.7033, 0.0506), Ba at (0.3453, 0.1833, 0.0477), Ag at (0.2873, 0.0855, 0.7514), Ir at (0.5000, 0.0000, 0.5000) and N at (0.0000, 0.0000, 0.0000).

=====

DFT (PBE-GGA) results for an optimized crystal structure of K2LaBr.

As for the energy relative to the elements, uncorrected: -182 meV per atom. Its total energy is -2.38 eV/atom.

It has space group I-42d (No. 122), with a = 10.1904 Å, b = 10.1904 Å, c = 6.1340 Å, α = 90.00°, β = 90.00° and γ = 90.00°. The inequivalent atoms are K at (0.1728, 0.7500, 0.1250), La at (0.0000, 0.0000, 0.5000) and Br at (0.0000, 0.0000, 0.0000).

=====

DFT (PBE-GGA) results for an optimized crystal structure of PmNd3Mg.

The value obtained for the energy of formation is -0.02 eV per atom. Its total energy is -4.15 eV/atom.

It has space group C2/m (No. 12), with a = 19.9413 Å, b = 3.7889 Å, c = 8.9829 Å, α = 90.00°, β = 103.87° and γ = 90.00°. The inequivalent atoms are Pm at (0.0998, 0.0000, 0.0427), Nd at (0.0025, 0.5000, 0.2693), Nd at (0.1867, 0.5000, 0.3761), Nd at (0.2026, 0.5000, 0.8263) and Mg at (0.0945, 0.0000, 0.5613).

=====

DFT (PBE-GGA) results for an optimized crystal structure of LaTl2Hg6.

The value obtained for the energy of formation is -0.16 eV per atom. Its total energy is -1.43 eV/atom.

It has space group P6/mmm (No. 191), with a = 9.0738 Å, b = 9.0738 Å, c = 3.4537 Å, α = 90.00°, β = 90.00° and γ = 120.00°. The inequivalent atoms are La at (0.0000, 0.0000, 0.0000), Tl at (0.3333, 0.6667, 0.0000) and Hg at (0.0000, 0.3352, 0.5000).

=====

DFT (PBE-GGA) results for an optimized crystal structure of ZrCu2Mo.

The value obtained for the energy of formation is 0.11 eV per atom. Its total energy is -6.79 eV/atom.

It has space group Pm (No. 6), with a = 2.7039 Å, b = 4.4924 Å, c = 5.0918 Å, α = 90.00°, β = 95.60° and γ = 90.00°. The inequivalent atoms are Zr at (0.0000, 0.0000, 0.0000), Cu at (0.5765, 0.5000, 0.2024), Cu at (0.5841, 0.0000, 0.4901) and Mo at (0.1898, 0.5000, 0.6614).

=====

DFT (PBE-GGA) results for an optimized crystal structure of Ca8Zn2Ir.

The value obtained for the energy of formation is -0.05 eV per atom. Its total energy is -2.54 eV/atom.

It has space group C2/m (No. 12), with a = 15.3910 Å, b = 8.9643 Å, c = 4.9993 Å, α = 90.00°, β = 108.90° and γ = 90.00°. The inequivalent atoms are Ca at (0.0000, 0.1811, 0.0000), Ca at (0.1219, 0.5000, 0.1218), Ca at (0.1576, 0.2302, 0.6576), Zn at (0.1901, 0.0000, 0.1893) and Ir at (0.0000, 0.5000, 0.5000).

=====

DFT (PBE-GGA) results for an optimized crystal structure of PuScSi.

As for the energy relative to the elements, uncorrected: -234 meV per atom. Its total energy is -8.93 eV/atom.

It has space group F-43m (No. 216), with a = 6.6321 Å, b = 6.6321 Å, c = 6.6321 Å, α = 90.00°, β = 90.00° and γ = 90.00°. The inequivalent atoms are Pu at (0.0000, 0.0000, 0.0000), Sc at (0.0000, 0.0000, 0.5000) and Si at (0.2500, 0.2500, 0.2500).